Here is an optimized crystal structure of AcCe2Zn2Ge2 from Alexandria. Energies are from PBE.

Cell: 4.3674 4.3674 10.1284 Å, 77.55 77.55 60.00°
With the nearest neighbours (Å) after each atom.
Sites, in units of the cell vectors:
1 Ge 0.2580 0.2580 0.2259  3 Zn 2.53
2 Ge 0.7420 0.7420 0.7741  3 Zn 2.53
3 Zn 0.5866 0.5866 0.2402  3 Ge 2.53
4 Zn 0.4134 0.4134 0.7598  3 Ge 2.53
5 Ac 0.0000 0.0000 0.0000  6 Ge 3.36, 6 Zn 3.45
6 Ce 0.1436 0.1436 0.5692  3 Ce 2.86, 3 Zn 3.14
7 Ce 0.8564 0.8564 0.4308  3 Ce 2.86, 3 Zn 3.14

* formation energy from the elements: -0.418 eV/atom
* spin magnetization: 2.23 μB/f.u.